Entry 1:
Here is a relaxed YMo2Ru crystal from Alexandria. Energies are from PBE.

Cell lengths 3.2365, 4.4587, 4.8783 Å; angles 90.00, 90.00, 90.00 degrees
Fractional positions:
Mo1 0.0000 0.0000 0.0000
Mo2 0.5000 0.5000 0.0000
Ru1 0.5000 0.0000 0.5000
Y1 0.0000 0.5000 0.5000

Results
- energy of formation from the pure elements (meV per atom) = 208
- calculated total energy (hartree per atom) = -0.336


Entry 2:
Here is a relaxed YMoRu2 crystal from Alexandria. Energies are from PBE.

Cell lengths 4.5860, 4.5860, 4.5860 Å; angles 60.00, 60.00, 60.00 degrees
Fractional positions:
Y1 0.0000 0.0000 0.0000
Ru1 0.2500 0.2500 0.2500
Ru2 0.7500 0.7500 0.7500
Mo1 0.5000 0.5000 0.5000

Results
- energy of formation from the pure elements (meV per atom) = 51
- calculated total energy (hartree per atom) = -0.327


Entry 3:
Here is a relaxed YMo2Ru crystal from Alexandria. Energies are from PBE.

Cell lengths 5.4060, 5.4060, 2.8626 Å; angles 90.00, 90.00, 121.78 degrees
Fractional positions:
Mo1 0.0000 0.0000 0.0000
Mo2 0.5000 0.5000 0.0000
Ru1 0.5000 0.0000 0.5000
Y1 0.0000 0.5000 0.5000

Results
- energy of formation from the pure elements (meV per atom) = 465
- calculated total energy (hartree per atom) = -0.327


Entry 4:
Here is a relaxed YMo2Ru crystal from Alexandria. Energies are from PBE.

Cell lengths 4.6125, 4.6125, 4.6125 Å; angles 120.02, 120.02, 89.97 degrees
Fractional positions:
Mo1 0.0000 0.0000 0.0000
Mo2 0.2500 0.7500 0.5000
Ru1 0.5000 0.5000 0.0000
Y1 0.7500 0.2500 0.5000

Results
- energy of formation from the pure elements (meV per atom) = 162
- calculated total energy (hartree per atom) = -0.338


Entry 5:
Here is a relaxed YMoRu2 crystal from Alexandria. Energies are from PBE.

Cell lengths 7.2289, 7.2289, 5.8994 Å; angles 52.22, 52.22, 90.00 degrees
Fractional positions:
Y1 0.5000 0.5000 0.0000
Y2 0.2500 0.7500 0.5000
Ru1 0.6739 0.1250 0.2500
Ru2 0.0761 0.6250 0.2500
Ru3 0.3750 0.3261 0.7500
Ru4 0.8750 0.9239 0.7500
Mo1 0.0000 0.0000 0.0000
Mo2 0.7500 0.2500 0.5000

Results
- energy of formation from the pure elements (meV per atom) = 342
- calculated total energy (hartree per atom) = -0.317


Entry 6:
Here is a relaxed YMoRu2 crystal from Alexandria. Energies are from PBE.

Cell lengths 5.5063, 5.5063, 5.5063 Å; angles 146.50, 130.68, 60.94 degrees
Fractional positions:
Mo1 0.2326 0.7326 0.5000
Ru1 0.0129 0.0129 0.0000
Ru2 0.7570 0.2570 0.5000
Y1 0.4975 0.4975 0.0000

Results
- energy of formation from the pure elements (meV per atom) = 186
- calculated total energy (hartree per atom) = -0.322


Entry 7:
Here is a relaxed YMo2Ru crystal from Alexandria. Energies are from PBE.

Cell lengths 5.3860, 5.3860, 5.3860 Å; angles 145.12, 125.89, 66.01 degrees
Fractional positions:
Mo1 0.9764 0.9764 0.0000
Mo2 0.7550 0.2550 0.5000
Ru1 0.5173 0.5173 0.0000
Y1 0.2513 0.7513 0.5000

Results
- energy of formation from the pure elements (meV per atom) = 253
- calculated total energy (hartree per atom) = -0.334


Entry 8:
Here is a relaxed Y2MoRu crystal from Alexandria. Energies are from PBE.

Cell lengths 5.5454, 5.5454, 5.5454 Å; angles 143.28, 124.49, 68.41 degrees
Fractional positions:
Mo1 0.2500 0.7500 0.5000
Ru1 0.7500 0.2500 0.5000
Y1 0.9833 0.9833 0.0000
Y2 0.5167 0.5167 0.0000

Results
- energy of formation from the pure elements (meV per atom) = 344
- calculated total energy (hartree per atom) = -0.291


Entry 9:
Here is a relaxed YMoRu2 crystal from Alexandria. Energies are from PBE.

Cell lengths 4.7935, 4.7935, 5.2100 Å; angles 69.61, 69.61, 41.49 degrees
Fractional positions:
Mo1 0.7500 0.7500 0.7500
Ru1 0.0301 0.0301 0.9357
Ru2 0.4699 0.4699 0.5643
Y1 0.2500 0.2500 0.2500

Results
- energy of formation from the pure elements (meV per atom) = 184
- calculated total energy (hartree per atom) = -0.323


Entry 10:
Here is a relaxed YMo2Ru2 crystal from Alexandria. Energies are from PBE.

Cell lengths 4.3465, 4.3465, 5.9610 Å; angles 68.62, 68.62, 90.00 degrees
Fractional positions:
Y1 0.0000 0.0000 0.0000
Ru1 0.3724 0.3724 0.2552
Ru2 0.6276 0.6276 0.7448
Mo1 0.7500 0.2500 0.5000
Mo2 0.2500 0.7500 0.5000

Results
- energy of formation from the pure elements (meV per atom) = -33
- calculated total energy (hartree per atom) = -0.344


Entry 11:
Here is a relaxed YMo2Ru crystal from Alexandria. Energies are from PBE.

Cell lengths 9.7150, 9.7150, 9.7150 Å; angles 17.40, 17.40, 17.40 degrees
Fractional positions:
Mo1 0.9897 0.9897 0.9897
Mo2 0.5103 0.5103 0.5103
Ru1 0.2500 0.2500 0.2500
Y1 0.7500 0.7500 0.7500

Results
- energy of formation from the pure elements (meV per atom) = 535
- calculated total energy (hartree per atom) = -0.324


Entry 12:
Here is a relaxed YMoRu2 crystal from Alexandria. Energies are from PBE.

Cell lengths 8.6703, 8.6703, 8.6703 Å; angles 20.68, 20.68, 20.68 degrees
Fractional positions:
Mo1 0.7500 0.7500 0.7500
Ru1 0.0093 0.0093 0.0093
Ru2 0.4907 0.4907 0.4907
Y1 0.2500 0.2500 0.2500

Results
- energy of formation from the pure elements (meV per atom) = 311
- calculated total energy (hartree per atom) = -0.318


Question: The highest calculated total energy belongs to which entry?
Answer: Y2MoRu